# DyGa6Tc2 PBE-GGA optimized geometry
data_DyGa6Tc2
_chemical_formula_sum 'Dy2 Ga12 Tc4'
_symmetry_space_group_name_H-M 'I m m m'
_symmetry_Int_Tables_number 71
_symmetry_space_group_name_Hall '-I 2 2'
_cell_length_a 3.528
_cell_length_b 6.758
_cell_length_c 12.854
_cell_angle_alpha 90.00
_cell_angle_beta 90.00
_cell_angle_gamma 90.00
loop_
_atom_site_label
_atom_site_type_symbol
_atom_site_fract_x
_atom_site_fract_y
_atom_site_fract_z
Dy1 Dy 0.000 0.000 0.000
Ga1 Ga 0.000 0.174 0.500
Ga2 Ga 0.000 0.303 0.317
Tc1 Tc 0.000 0.500 0.132
# * total energy: -90.52 eV/cell
# * N(E_F): 3.9 states/eV/f.u.
# * ρ: 8.42 Mg/m³
# * formation energy from the elements: -196.0 meV/atom
# * spin magnetization: 0.000 μB per atom